No. 1
## SrMg6Mo (PBE)

Data for a relaxed SrMg6Mo crystal.

The value obtained for the energy relative to the elements is 0.335 eV per atom. The calculation puts the density of states at the Fermi level at 5.5 states/eV per cell.

Lattice parameters (Å, degrees): 6.563 6.563 5.123 90.00 90.00 119.82
Site moments in Bohr magnetons follow the coordinates.
Atoms (fractional coordinates):
Sr  0.831  0.169  0.000  0.03
Mg  0.358  0.187  0.000  -0.01
Mg  0.813  0.642  0.000  -0.01
Mg  0.330  0.670  0.000  0.01
Mg  0.194  0.344  0.500  -0.01
Mg  0.656  0.806  0.500  -0.01
Mg  0.163  0.837  0.500  -0.01
Mo  0.654  0.346  0.500  1.42

No. 2
## Sr2MgMo (PBE)

Data for a relaxed Sr2MgMo crystal.

The value obtained for the energy relative to the elements is 0.855 eV per atom. The calculation puts the density of states at the Fermi level at 3.0 states/eV per cell.

Lattice parameters (Å, degrees): 11.374 11.374 11.374 18.13 18.13 18.13
Site moments in Bohr magnetons follow the coordinates.
Atoms (fractional coordinates):
Mg  0.250  0.250  0.250  0.00
Mo  0.750  0.750  0.750  1.53
Sr  0.011  0.011  0.011  -0.01
Sr  0.489  0.489  0.489  -0.01

No. 3
## Sr2MgMo (PBE)

Data for a relaxed Sr2MgMo crystal.

The value obtained for the energy relative to the elements is 0.787 eV per atom. The calculation puts the density of states at the Fermi level at 4.1 states/eV per cell.

Lattice parameters (Å, degrees): 5.537 5.537 5.537 119.66 119.66 90.59
Site moments in Bohr magnetons follow the coordinates.
Atoms (fractional coordinates):
Mg  0.500  0.500  0.000  -0.04
Mo  0.750  0.250  0.500  2.58
Sr  0.000  0.000  0.000  0.00
Sr  0.250  0.750  0.500  -0.07

No. 4
## Sr2Mg2Mo (PBE)

Data for a relaxed Sr2Mg2Mo crystal.

The value obtained for the energy relative to the elements is 0.600 eV per atom. The calculation puts the density of states at the Fermi level at 9.7 states/eV per cell.

Lattice parameters (Å, degrees): 7.612 7.612 5.489 90.00 90.00 90.00
Site moments in Bohr magnetons follow the coordinates.
Atoms (fractional coordinates):
Sr  0.180  0.680  0.500  -0.06
Sr  0.680  0.820  0.500  -0.06
Sr  0.820  0.320  0.500  -0.06
Sr  0.320  0.180  0.500  -0.06
Mo  0.000  0.000  0.000  2.49
Mo  0.500  0.500  0.000  2.49
Mg  0.357  0.857  0.000  -0.02
Mg  0.857  0.643  0.000  -0.02
Mg  0.643  0.143  0.000  -0.02
Mg  0.143  0.357  0.000  -0.02

No. 5
## Sr2MgMo (PBE)

Data for a relaxed Sr2MgMo crystal.

The value obtained for the energy relative to the elements is 0.726 eV per atom. The calculation puts the density of states at the Fermi level at 4.3 states/eV per cell.

Lattice parameters (Å, degrees): 3.838 3.818 9.545 66.50 90.00 90.00
Site moments in Bohr magnetons follow the coordinates.
Atoms (fractional coordinates):
Mg  0.500  0.250  0.250  -0.01
Mo  0.500  0.750  0.750  2.34
Sr  0.000  0.028  0.972  0.02
Sr  0.000  0.472  0.528  0.02

No. 6
## SrMgTiMo2 (PBE)

Data for a relaxed SrMgTiMo2 crystal.

The value obtained for the energy relative to the elements is 2.369 eV per atom. The calculation puts the density of states at the Fermi level at 5.3 states/eV per cell.

Lattice parameters (Å, degrees): 4.827 4.796 4.827 90.00 90.00 90.00
Atoms (fractional coordinates):
Sr  0.000  0.000  0.000
Mo  0.000  0.000  0.500
Mo  0.500  0.000  0.000
Mg  0.500  0.500  0.500
Ti  0.000  0.500  0.000

No. 7
## SrMgV2Mo (PBE)

Data for a relaxed SrMgV2Mo crystal.

The value obtained for the energy relative to the elements is 0.762 eV per atom. The calculation puts the density of states at the Fermi level at 5.3 states/eV per cell.

Lattice parameters (Å, degrees): 4.715 5.374 4.715 90.00 90.00 90.00
Site moments in Bohr magnetons follow the coordinates.
Atoms (fractional coordinates):
Sr  0.500  0.500  0.500  0.04
Mo  0.000  0.000  0.000  -0.68
Mg  0.000  0.500  0.000  -0.02
V  0.000  0.000  0.500  1.22
V  0.500  0.000  0.000  1.64

No. 8
## MgTaMo2 (PBE)

Data for a relaxed MgTaMo2 crystal.

The value obtained for the energy relative to the elements is 0.311 eV per atom. The calculation puts the density of states at the Fermi level at 2.9 states/eV per cell.

Lattice parameters (Å, degrees): 4.959 4.959 5.371 88.42 88.42 31.31
Atoms (fractional coordinates):
Mg  0.751  0.751  0.753
Mo  0.007  0.007  0.003
Mo  0.246  0.246  0.245
Ta  0.496  0.496  0.499

No. 9
## MgTaMo2 (PBE)

Data for a relaxed MgTaMo2 crystal.

The value obtained for the energy relative to the elements is 0.317 eV per atom. The calculation puts the density of states at the Fermi level at 3.6 states/eV per cell.

Lattice parameters (Å, degrees): 4.661 4.661 4.661 123.34 123.34 84.31
Atoms (fractional coordinates):
Mg  0.750  0.250  0.500
Mo  0.000  0.000  0.000
Mo  0.250  0.750  0.500
Ta  0.500  0.500  0.000

No. 10
## MgTa2Mo (PBE)

Data for a relaxed MgTa2Mo crystal.

The value obtained for the energy relative to the elements is 0.139 eV per atom. The calculation puts the density of states at the Fermi level at 2.0 states/eV per cell.

Lattice parameters (Å, degrees): 3.296 3.296 6.657 90.00 90.00 90.00
Atoms (fractional coordinates):
Mg  0.500  0.500  0.250
Mo  0.500  0.500  0.750
Ta  0.000  0.000  0.973
Ta  0.000  0.000  0.527

No. 11
## MgTaMo2 (PBE)

Data for a relaxed MgTaMo2 crystal.

The value obtained for the energy relative to the elements is 0.271 eV per atom. The calculation puts the density of states at the Fermi level at 1.5 states/eV per cell.

Lattice parameters (Å, degrees): 2.702 2.702 9.438 90.00 90.00 90.00
Atoms (fractional coordinates):
Mg  0.500  0.500  0.750
Mo  0.000  0.000  0.999
Mo  0.000  0.000  0.501
Ta  0.500  0.500  0.250

No. 12
## MgTaMo (PBE)

Data for a relaxed MgTaMo crystal.

The value obtained for the energy relative to the elements is 0.191 eV per atom. The calculation puts the density of states at the Fermi level at 3.7 states/eV per cell.

Lattice parameters (Å, degrees): 7.490 7.320 2.818 82.45 75.66 21.90
Atoms (fractional coordinates):
Mg  0.996  0.996  0.004
Mo  0.329  0.329  0.671
Ta  0.675  0.675  0.325